The following is a DFT calculation (SCAN) of a PBEsol-optimized structure of GeTeRh2S.

Cell lengths 4.364, 4.364, 4.940 Å; angles 90.00, 90.00, 90.00 degrees
Atoms (fractional coordinates):
1 Ge 0.000 0.000 0.500
2 Rh 0.000 0.500 0.000
3 Rh 0.500 0.000 0.000
4 S 0.000 0.000 0.000
5 Te 0.500 0.500 0.500

Its space group is No. 123. Its calculated volume is 94.1 Å³/cell. The calculation puts the uncorrected formation energy at 317 meV per atom. The density of states at the Fermi level comes out at 3.723 states/eV/f.u.